Below is an optimized crystal structure of PaFe4P4, with properties calculated at the PBE level.

Lattice parameters (Å, degrees): 5.619 5.619 7.371 90.00 90.00 90.00
Positions (direct):
Fe 0.000 0.273 0.374
Fe 0.227 0.500 0.874
Fe 0.000 0.727 0.374
Fe 0.500 0.773 0.126
Fe 0.773 0.500 0.874
Fe 0.273 0.000 0.626
Fe 0.727 0.000 0.626
Fe 0.500 0.227 0.126
P 0.792 0.500 0.174
P 0.708 0.000 0.326
P 0.000 0.292 0.674
P 0.500 0.792 0.826
P 0.000 0.708 0.674
P 0.208 0.500 0.174
P 0.500 0.208 0.826
P 0.292 0.000 0.326
Pa 0.000 0.000 0.000
Pa 0.500 0.500 0.500

Below is an optimized crystal structure of Pa2Fe5P3, with properties calculated at the PBE level.

Lattice parameters (Å, degrees): 3.776 6.237 11.876 90.00 99.15 90.00
Positions (direct):
Fe 0.930 0.110 0.859
Fe 0.865 0.738 0.730
Fe 0.710 0.426 0.420
Fe 0.608 0.915 0.217
Fe 0.392 0.415 0.783
Fe 0.292 0.526 0.583
Fe 0.708 0.026 0.417
Fe 0.135 0.238 0.270
Fe 0.290 0.926 0.580
Fe 0.070 0.610 0.141
P 0.769 0.726 0.538
P 0.231 0.226 0.462
P 0.387 0.963 0.773
P 0.063 0.978 0.127
P 0.937 0.478 0.873
P 0.613 0.463 0.227
Pa 0.824 0.236 0.647
Pa 0.510 0.246 0.020
Pa 0.490 0.746 0.980
Pa 0.176 0.736 0.353

Number 1: E_form -551 meV per atom. Number 2: E_form -611 meV per atom.